5
Lattice="-1.571 2.869 -4.229 -4.157 -0.894 0.938 -0.250 4.376 3.061" Properties=species:S:1:pos:R:3 comment="Mg2VRuF | Alexandria | GGA+U | optimized geometry" final_energy_ev_per_atom=-3.581 space_group=P4/mmm m_tot_mub_per_cell=2.0 dos_ef_per_ev_atom=0.6336 pbc="T T T"
Ru -2.079 -0.447 0.469
V 0.000 0.000 0.000
F -2.989 3.175 -0.114
Mg -0.786 1.434 -2.114
Mg -0.125 2.188 1.531